# Be2TePt, optimized geometry, DFT PBE
# **Energy**: -4.36 eV per atom
# **Formation energy without anion corrections**: -0.1994 eV per atom
data_Be2TePt
_chemical_formula_sum 'Be2 Te1 Pt1'
_space_group_name_H-M_alt 'P 1 m 1'
_space_group_IT_number 6
_space_group_name_Hall 'P -2y'
_cell_length_a 3.629
_cell_length_b 3.745
_cell_length_c 5.520
_cell_angle_alpha 90.00
_cell_angle_beta 108.62
_cell_angle_gamma 90.00
loop_
_atom_site_label
_atom_site_fract_x
_atom_site_fract_y
_atom_site_fract_z
Be1 0.000 0.000 0.000
Be2 0.499 0.500 0.996
Te1 0.341 0.000 0.673
Pt1 0.123 0.500 0.252

=====

# ThBe4Pt8, optimized geometry, DFT PBE
# **Calculated formation energy**: -708.3 meV per atom
# **Energy**: -6.14 eV per atom
data_ThBe4Pt8
_chemical_formula_sum 'Th2 Be8 Pt16'
_space_group_name_H-M_alt 'I 4/m m m'
_space_group_IT_number 139
_space_group_name_Hall '-I 4 2'
_cell_length_a 8.554
_cell_length_b 8.554
_cell_length_c 5.204
_cell_angle_alpha 90.00
_cell_angle_beta 90.00
_cell_angle_gamma 90.00
loop_
_atom_site_label
_atom_site_fract_x
_atom_site_fract_y
_atom_site_fract_z
Th1 0.000 0.000 0.000
Be1 0.250 0.250 0.250
Pt1 0.000 0.228 0.500
Pt2 0.000 0.333 0.000

=====

# Th2BePt6, optimized geometry, DFT PBE
# **Calculated formation energy**: -1081.2 meV per atom
# **Energy**: -7.17 eV per atom
data_Th2BePt6
_chemical_formula_sum 'Th6 Be3 Pt18'
_space_group_name_H-M_alt 'R -3 m'
_space_group_IT_number 166
_space_group_name_Hall '-R 3 2"'
_cell_length_a 5.7677
_cell_length_b 5.7677
_cell_length_c 17.1868
_cell_angle_alpha 90.00
_cell_angle_beta 90.00
_cell_angle_gamma 120.00
loop_
_atom_site_label
_atom_site_fract_x
_atom_site_fract_y
_atom_site_fract_z
Th1 0.0000 0.0000 0.2289
Be1 0.0000 0.0000 0.5000
Pt1 0.0018 0.5009 0.7359